MnCrIrF2: optimized geometry, GGA+U.

The value obtained for the total energy is -30.9 eV per formula unit.

Cell and atoms, written as CIF:
```
data_MnCrIrF2
_chemical_formula_sum 'Mn1 Cr1 Ir1 F2'
_cell_length_a 3.865
_cell_length_b 3.865
_cell_length_c 5.624
_cell_angle_alpha 90.00
_cell_angle_beta 90.00
_cell_angle_gamma 90.00
_symmetry_space_group_name_H-M 'P 4/m m m'
_symmetry_Int_Tables_number 123
_symmetry_space_group_name_Hall '-P 4 2'
loop_
_atom_site_label
_atom_site_fract_x
_atom_site_fract_y
_atom_site_fract_z
_atom_site_occupancy
Mn1 0.000 0.000 0.000 1
Cr1 0.500 0.500 0.500 1
Ir1 0.000 0.000 0.500 1
F1 0.000 0.500 0.000 1
```